DFT (GGA-PBE) results for crystalline Sm5Tl2Os2 at its relaxed geometry.

Properties
The calculation puts the density at 10.29 g/cm3. The calculation puts the density of states at the Fermi level at 6.265 states/eV/f.u. Its calculated formation energy is -0.23 eV per atom.

Geometry as CIF:
```
data_Sm5Tl2Os2
_cell_length_a 16.710
_cell_length_b 7.619
_cell_length_c 7.815
_cell_angle_alpha 90.00
_cell_angle_beta 90.00
_cell_angle_gamma 90.00
_space_group_name_H-M_alt 'C m c e'
_space_group_IT_number 64
_space_group_name_Hall '-C 2ac 2'
loop_
_atom_site_label
_atom_site_type_symbol
_atom_site_fract_x
_atom_site_fract_y
_atom_site_fract_z
_atom_site_occupancy
Sm1 Sm 0.000 0.000 0.000 1
Sm2 Sm 0.118 0.181 0.320 1
Tl1 Tl 0.223 0.000 0.000 1
Os1 Os 0.000 0.111 0.619 1
```